Entry 1:
DFT (PBE-GGA) results for a relaxed CsNa2Mg crystal.

POSCAR file:
```
CsNa2Mg
1.0
3.937 0.000 0.000
1.968 3.409 0.000
1.968 1.136 14.178
Na Mg Cs
2 1 1
Direct
0.078 0.078 0.766
0.922 0.922 0.234
0.000 0.000 0.000
0.500 0.500 0.500
```

Computed properties:
magnetization	0.004	μB/f.u.
DOS at the Fermi energy	3.967	states/eV/f.u.
symmetry	No. 166
formation energy from the elements	349	meV per atom

=====

Entry 2:
DFT (PBE-GGA) results for a relaxed Cs3NaMg crystal.

POSCAR file:
```
Cs3NaMg
1.0
-6.929 0.638 -3.279
-1.479 -7.356 1.693
-2.996 2.155 6.749
Mg Cs Na
1 3 1
Direct
0.000 0.000 0.000
0.500 0.000 0.000
0.000 0.000 0.500
0.000 0.500 0.000
0.500 0.500 0.500
```

Computed properties:
magnetization	0.000	μB/f.u.
DOS at the Fermi energy	6.969	states/eV/f.u.
energy above the lowest structure with this stoichiometry	0	meV per atom
symmetry	No. 221
formation energy from the elements	249	meV per atom

=====

Entry 3:
DFT (PBE-GGA) results for a relaxed Cs2Na16Mg crystal.

POSCAR file:
```
Cs2Na16Mg
1.0
9.362 0.079 1.143
1.021 9.306 1.143
0.087 0.079 9.431
Na Mg Cs
16 1 2
Direct
0.092 0.092 0.092
0.995 0.995 0.509
0.995 0.509 0.995
0.135 0.660 0.660
0.660 0.135 0.660
0.660 0.660 0.135
0.281 0.718 0.998
0.345 0.345 0.857
0.718 0.281 0.998
0.509 0.995 0.995
0.998 0.281 0.718
0.345 0.857 0.345
0.998 0.718 0.281
0.281 0.998 0.718
0.857 0.345 0.345
0.718 0.998 0.281
0.908 0.908 0.908
0.660 0.660 0.660
0.345 0.345 0.345
```

Computed properties:
magnetization	0.000	μB/f.u.
DOS at the Fermi energy	7.347	states/eV/f.u.
symmetry	No. 160
formation energy from the elements	35	meV per atom

=====

Entry 4:
DFT (PBE-GGA) results for a relaxed Cs2Na2Mg crystal.

POSCAR file:
```
Cs2Na2Mg
1.0
9.211 0.000 0.000
0.000 9.211 0.000
0.000 0.000 6.708
Mg Cs Na
2 4 4
Direct
0.500 0.500 0.000
0.000 0.000 0.000
0.315 0.185 0.500
0.815 0.315 0.500
0.185 0.685 0.500
0.685 0.815 0.500
0.639 0.139 0.000
0.139 0.361 0.000
0.861 0.639 0.000
0.361 0.861 0.000
```

Computed properties:
magnetization	0.000	μB/f.u.
DOS at the Fermi energy	4.410	states/eV/f.u.
energy above the lowest structure with this stoichiometry	0	meV per atom
symmetry	No. 127
formation energy from the elements	149	meV per atom

=====

- Which of these has the highest DOS at the Fermi energy?
  Cs2Na16Mg

=====

- Which formula does entry 4 have?
  Cs2Na2Mg

=====

Copy entry 3 word for word.
DFT (PBE-GGA) results for a relaxed Cs2Na16Mg crystal.

POSCAR file:
```
Cs2Na16Mg
1.0
9.362 0.079 1.143
1.021 9.306 1.143
0.087 0.079 9.431
Na Mg Cs
16 1 2
Direct
0.092 0.092 0.092
0.995 0.995 0.509
0.995 0.509 0.995
0.135 0.660 0.660
0.660 0.135 0.660
0.660 0.660 0.135
0.281 0.718 0.998
0.345 0.345 0.857
0.718 0.281 0.998
0.509 0.995 0.995
0.998 0.281 0.718
0.345 0.857 0.345
0.998 0.718 0.281
0.281 0.998 0.718
0.857 0.345 0.345
0.718 0.998 0.281
0.908 0.908 0.908
0.660 0.660 0.660
0.345 0.345 0.345
```

Computed properties:
magnetization	0.000	μB/f.u.
DOS at the Fermi energy	7.347	states/eV/f.u.
symmetry	No. 160
formation energy from the elements	35	meV per atom

=====

- What is the DOS at the Fermi energy in the second record?
  6.969 states/eV/f.u.